Entry from Alexandria via LeMat-Bulk: a relaxed structure of RbCaTcO4 (PBE-GGA). Values from VASP.

```
&SYSTEM
  ibrav = 0, nat = 14, ntyp = 4
/
ATOMIC_SPECIES
Rb 85.47 Rb.upf
Ca 40.08 Ca.upf
Tc 98.00 Tc.upf
O 16.00 O.upf
CELL_PARAMETERS angstrom
6.144 0.000 0.093
0.000 6.061 0.000
-2.313 0.000 7.266
ATOMIC_POSITIONS crystal
Rb 0.724 0.750 0.940
Rb 0.276 0.250 0.060
Ca 0.818 0.750 0.460
Ca 0.182 0.250 0.540
Tc 0.281 0.750 0.345
Tc 0.719 0.250 0.655
O 0.942 0.471 0.678
O 0.058 0.971 0.322
O 0.058 0.529 0.322
O 0.942 0.029 0.678
O 0.456 0.750 0.189
O 0.544 0.250 0.811
O 0.479 0.750 0.573
O 0.521 0.250 0.427
```

Results
electronic total energy: -92.80 eV per cell
formation energy (no corrections): -1.89 eV/atom
M_tot: 0.286 μB per atom



Entry from Alexandria via LeMat-Bulk: a relaxed structure of ZnNi5Pt4 (PBE-GGA). Values from VASP.

```
&SYSTEM
  ibrav = 0, nat = 10, ntyp = 3
/
ATOMIC_SPECIES
Zn 65.41 Zn.upf
Ni 58.69 Ni.upf
Pt 195.08 Pt.upf
CELL_PARAMETERS angstrom
-0.502 -3.478 -0.984
6.987 -1.699 2.441
-5.242 1.493 4.163
ATOMIC_POSITIONS crystal
Zn 0.500 0.000 0.000
Ni 0.829 0.332 0.658
Ni 0.826 0.830 0.651
Ni 0.174 0.170 0.349
Ni 0.500 0.500 0.000
Ni 0.171 0.668 0.342
Pt 0.340 0.590 0.679
Pt 0.026 0.771 0.052
Pt 0.660 0.410 0.321
Pt 0.974 0.229 0.948
```

Results
electronic total energy: -53.05 eV per cell
ΔH_f (0 K): 0.1295 eV per atom
M_tot: 0.388 μB per atom



Entry from Alexandria via LeMat-Bulk: a relaxed structure of RbMgUSe3 (PBE-GGA). Values from VASP.

```
&SYSTEM
  ibrav = 0, nat = 12, ntyp = 4
/
ATOMIC_SPECIES
Rb 85.47 Rb.upf
Mg 24.30 Mg.upf
U 238.03 U.upf
Se 78.96 Se.upf
CELL_PARAMETERS angstrom
-1.052 -2.645 -3.191
1.743 -7.422 5.577
-9.860 2.671 1.035
ATOMIC_POSITIONS crystal
Rb 0.750 0.793 0.768
Rb 0.250 0.207 0.232
Mg 0.250 0.087 0.611
Mg 0.750 0.913 0.389
U 0.250 0.663 0.135
U 0.750 0.337 0.865
Se 0.250 0.801 0.460
Se 0.750 0.880 0.134
Se 0.750 0.466 0.159
Se 0.750 0.199 0.540
Se 0.250 0.534 0.841
Se 0.250 0.120 0.866
```

Results
electronic total energy: -62.82 eV per cell
formation energy (no corrections): -1.18 eV/atom
M_tot: 0.500 μB per atom



Entry from Alexandria via LeMat-Bulk: a relaxed structure of Zr2UPaC4 (PBE-GGA). Values from VASP.

```
&SYSTEM
  ibrav = 0, nat = 8, ntyp = 4
/
ATOMIC_SPECIES
Zr 91.22 Zr.upf
U 238.03 U.upf
Pa 231.04 Pa.upf
C 12.01 C.upf
CELL_PARAMETERS angstrom
3.434 0.000 0.000
0.000 6.029 -0.150
0.000 2.091 5.575
ATOMIC_POSITIONS crystal
Zr 0.000 0.000 0.000
Zr 0.500 0.000 0.500
U 0.500 0.500 0.000
Pa 0.000 0.500 0.500
C 0.000 0.754 0.755
C 0.000 0.246 0.245
C 0.500 0.755 0.241
C 0.500 0.245 0.759
```

Results
electronic total energy: -79.21 eV per cell
ΔH_f (0 K): -0.5538 eV per atom
M_tot: 0.000 μB per atom



Entry from Alexandria via LeMat-Bulk: a relaxed structure of Ho8Zn2Ga (PBE-GGA). Values from VASP.

```
&SYSTEM
  ibrav = 0, nat = 11, ntyp = 3
/
ATOMIC_SPECIES
Ho 164.93 Ho.upf
Zn 65.41 Zn.upf
Ga 69.72 Ga.upf
CELL_PARAMETERS angstrom
5.060 0.000 0.000
0.000 6.872 0.138
-2.530 -2.774 8.363
ATOMIC_POSITIONS crystal
Ho 0.408 0.541 0.816
Ho 0.668 0.974 0.336
Ho 0.802 0.684 0.603
Ho 0.973 0.225 0.947
Ho 0.198 0.316 0.397
Ho 0.332 0.026 0.664
Ho 0.592 0.459 0.184
Ho 0.027 0.775 0.053
Zn 0.816 0.285 0.633
Zn 0.184 0.715 0.367
Ga 0.500 0.000 0.000
```

Results
electronic total energy: -44.42 eV per cell
ΔH_f (0 K): -0.2025 eV per atom
M_tot: 0.000 μB per atom



Entry from Alexandria via LeMat-Bulk: a relaxed structure of MnCrInRh (PBE-GGA). Values from VASP.

```
&SYSTEM
  ibrav = 0, nat = 4, ntyp = 4
/
ATOMIC_SPECIES
Cr 52.00 Cr.upf
Mn 54.94 Mn.upf
Rh 102.91 Rh.upf
In 114.82 In.upf
CELL_PARAMETERS angstrom
4.449 0.000 0.000
2.225 3.853 0.000
2.225 1.284 3.633
ATOMIC_POSITIONS crystal
Cr 0.750 0.750 0.750
Mn 0.500 0.500 0.500
Rh 0.250 0.250 0.250
In 0.000 0.000 0.000
```

Results
electronic total energy: -29.12 eV per cell
ΔH_f (0 K): -0.0591 eV per atom
M_tot: 0.245 μB per atom



Entry from Alexandria via LeMat-Bulk: a relaxed structure of LiCd2O2 (PBE-GGA). Values from VASP.

```
&SYSTEM
  ibrav = 0, nat = 5, ntyp = 3
/
ATOMIC_SPECIES
Li 6.94 Li.upf
Cd 112.41 Cd.upf
O 16.00 O.upf
CELL_PARAMETERS angstrom
-2.900 -0.060 -1.234
-0.144 -4.702 0.568
-0.283 2.945 4.545
ATOMIC_POSITIONS crystal
Li 0.000 0.000 0.000
Cd 0.658 0.658 0.316
Cd 0.342 0.342 0.684
O 0.343 0.843 0.685
O 0.657 0.157 0.315
```

Results
electronic total energy: -18.74 eV per cell
formation energy (no corrections): -1.02 eV/atom
polymorph energy (0 for the lowest one): 0 meV per atom
M_tot: 0.000 μB per atom



Entry from Alexandria via LeMat-Bulk: a relaxed structure of Pb2Se (PBE-GGA). Values from VASP.

```
&SYSTEM
  ibrav = 0, nat = 12, ntyp = 2
/
ATOMIC_SPECIES
Pb 207.20 Pb.upf
Se 78.96 Se.upf
CELL_PARAMETERS angstrom
6.061 0.000 0.000
0.000 6.061 0.000
0.000 0.000 10.016
ATOMIC_POSITIONS crystal
Pb 0.250 0.001 0.823
Pb 0.750 0.499 0.323
Pb 0.250 0.501 0.677
Pb 0.750 0.999 0.177
Pb 0.250 0.002 0.427
Pb 0.750 0.498 0.927
Pb 0.250 0.502 0.073
Pb 0.750 0.998 0.573
Se 0.250 0.503 0.375
Se 0.750 0.997 0.875
Se 0.250 0.003 0.125
Se 0.750 0.497 0.625
```

Results
electronic total energy: -46.47 eV per cell
formation energy (no corrections): -0.24 eV/atom
polymorph energy (0 for the lowest one): 0 meV per atom
M_tot: 0.000 μB per atom